# LiScSO4

A relaxed structure of LiScSO4 (GGA-PBE, Alexandria via LeMat-Bulk).

Cell lengths 6.1300, 6.1300, 6.1300 Å; angles 118.78, 109.91, 100.26 degrees
Closest atoms and distances in Å follow each position.
Positions (direct):
Li 0.0000 0.0000 0.0000  2 O 1.86
Li 0.5000 0.0000 0.5000  2 O 1.86
Sc 0.5000 0.0000 0.0000  6 O 2.07-2.31
Sc 0.5000 0.5000 0.5000  6 O 2.07-2.31
S 0.0978 0.3478 0.7500  2 O 1.51
S 0.9022 0.6522 0.2500  2 O 1.51
O 0.2097 0.2638 0.5540  1 S 1.51
O 0.2097 0.6557 0.9460  1 S 1.51
O 0.2896 0.2311 0.0585  1 Li 1.86, 2 Sc 2.07
O 0.3274 0.7689 0.5585  1 Li 1.86, 2 Sc 2.07
O 0.6726 0.2311 0.4415  1 Li 1.86, 2 Sc 2.07
O 0.7104 0.7689 0.9415  1 Li 1.86, 2 Sc 2.07
O 0.7903 0.3443 0.0540  1 S 1.51
O 0.7903 0.7362 0.4460  1 S 1.51

# LiSeSO2

A relaxed structure of LiSeSO2 (GGA-PBE, Alexandria via LeMat-Bulk).

Cell lengths 3.7703, 3.7703, 5.0303 Å; angles 90.00, 90.00, 90.00 degrees
Closest atoms and distances in Å follow each position.
Positions (direct):
Li 0.0000 0.0000 0.0000  4 S 2.67
Se 0.5000 0.5000 0.5000  4 O 1.89
S 0.5000 0.5000 0.0000  2 Se 2.52, 4 Li 2.67
O 0.0000 0.5000 0.5000  2 Se 1.89
O 0.5000 0.0000 0.5000  2 Se 1.89

# LiSmSO

A relaxed structure of LiSmSO (GGA-PBE, Alexandria via LeMat-Bulk).

Cell lengths 3.9187, 3.9187, 8.6874 Å; angles 90.00, 90.00, 90.00 degrees
Closest atoms and distances in Å follow each position.
Positions (direct):
Li 0.2500 0.7500 0.0000  4 S 2.44
Li 0.7500 0.2500 0.0000  4 S 2.44
Sm 0.2500 0.2500 0.3630  4 O 2.29
Sm 0.7500 0.7500 0.6370  4 O 2.29
S 0.2500 0.2500 0.8320  4 Li 2.44
S 0.7500 0.7500 0.1680  4 Li 2.44
O 0.2500 0.7500 0.5000  4 Sm 2.29
O 0.7500 0.2500 0.5000  4 Sm 2.29

# LiSm2SO2

A relaxed structure of LiSm2SO2 (GGA-PBE, Alexandria via LeMat-Bulk).

Cell lengths 4.0103, 4.0103, 7.3567 Å; angles 90.00, 90.00, 120.00 degrees
Closest atoms and distances in Å follow each position.
Positions (direct):
Li 0.0000 0.0000 0.0000  1 O 1.95
Sm 0.0000 0.0000 0.4027  4 O 2.33-2.45
Sm 0.3333 0.6667 0.7572  4 O 2.32
S 0.6667 0.3333 0.0808  3 Li 2.39
O 0.0000 0.0000 0.7356  1 Li 1.95
O 0.3333 0.6667 0.4423  4 Sm 2.32-2.33

# LiSmS2O8

A relaxed structure of LiSmS2O8 (GGA-PBE, Alexandria via LeMat-Bulk).

Cell lengths 5.1237, 5.1237, 6.7481 Å; angles 90.00, 90.00, 120.00 degrees
Closest atoms and distances in Å follow each position.
Positions (direct):
Li 0.0000 0.0000 0.0000  6 O 2.12
Sm 0.0000 0.0000 0.5000  6 O 2.47
S 0.3333 0.6667 0.7165  4 O 1.48-1.50
S 0.6667 0.3333 0.2835  4 O 1.48-1.50
O 0.1744 0.3488 0.7843  1 S 1.48
O 0.1744 0.8256 0.7843  1 S 1.48
O 0.3333 0.6667 0.4935  1 S 1.50
O 0.3488 0.1744 0.2157  1 S 1.48
O 0.6512 0.8256 0.7843  1 S 1.48
O 0.6667 0.3333 0.5065  1 S 1.50
O 0.8256 0.1744 0.2157  1 S 1.48
O 0.8256 0.6512 0.2157  1 S 1.48

# LiSmS2O8

A relaxed structure of LiSmS2O8 (GGA-PBE, Alexandria via LeMat-Bulk).

Cell lengths 7.6786, 7.6786, 6.1163 Å; angles 90.00, 90.00, 90.00 degrees
Closest atoms and distances in Å follow each position.
Positions (direct):
Li 0.0000 0.5000 0.2500  4 O 1.90
Li 0.5000 0.0000 0.7500  4 O 1.90
Sm 0.0000 0.5000 0.7500  8 O 2.45-2.48
Sm 0.5000 0.0000 0.2500  8 O 2.45-2.48
S 0.2216 0.2784 0.2500  4 O 1.48-1.51
S 0.2784 0.7784 0.7500  4 O 1.48-1.51
S 0.7216 0.2216 0.7500  4 O 1.48-1.51
S 0.7784 0.7216 0.2500  4 O 1.48-1.51
O 0.0964 0.3248 0.4319  1 S 1.51
O 0.0963 0.7983 0.8251  1 S 1.48
O 0.1752 0.4036 0.0681  1 S 1.51
O 0.2017 0.0963 0.1749  1 S 1.48
O 0.2983 0.5963 0.6749  1 S 1.48
O 0.3248 0.9036 0.5681  1 S 1.51
O 0.4037 0.2983 0.3251  1 S 1.48
O 0.4036 0.8248 0.9319  1 S 1.51
O 0.5964 0.1752 0.9319  1 S 1.51
O 0.5963 0.7017 0.3251  1 S 1.48
O 0.6752 0.0964 0.5681  1 S 1.51
O 0.7017 0.4037 0.6749  1 S 1.48
O 0.7983 0.9037 0.1749  1 S 1.48
O 0.8248 0.5964 0.0681  1 S 1.51
O 0.9037 0.2017 0.8251  1 S 1.48
O 0.9036 0.6752 0.4319  1 S 1.51

ΔE_f (raw) in meV/atom, matching the order above: -2007 -334 -2413 -2400 -2021 -1935
Spin magnetization in μB per cell, matching the order above: 0.00 0.00 0.00 0.23 0.00 0.00
VASP energy in eV per atom, matching the order above: -6.61 -4.22 -6.34 -6.63 -6.57 -6.48